Material: K2TmCuCl6
Method: DFT, GGA-PBEsol
State: optimized geometry

Unit cell a=7.101 b=7.101 c=7.101 alpha=60.00 beta=60.00 gamma=60.00
Sites, in units of the cell vectors:
Cl (0.745, 0.255, 0.255)
Cl (0.745, 0.255, 0.745)
Cl (0.255, 0.255, 0.745)
Cl (0.255, 0.745, 0.255)
Cl (0.745, 0.745, 0.255)
Cl (0.255, 0.745, 0.745)
Tm (0.000, 0.000, 0.000)
K (0.250, 0.250, 0.250)
K (0.750, 0.750, 0.750)
Cu (0.500, 0.500, 0.500)

Values from the calculation:
The volume is 25.324 Å³ per atom. The calculation puts the density of states at the Fermi level at 0.000 states/eV per cell. Its final energy is -4.098 eV/atom. The uncorrected formation energy is -1743 meV/atom.